GdBr3 (PBE, optimized geometry); SG = P6_3/m (176); total energy = -33.9 eV/cell
1.0
-2.843 0.433 7.483
1.851 -7.123 -3.178
3.907 0.362 1.463
Br Gd
6 2
direct
0.702 0.092 0.250 Br
0.391 0.298 0.250 Br
0.908 0.609 0.250 Br
0.092 0.391 0.750 Br
0.609 0.702 0.750 Br
0.298 0.908 0.750 Br
0.333 0.667 0.250 Gd
0.667 0.333 0.750 Gd

GdBr3 (PBE, optimized geometry); SG = P4_2/mnm (136); total energy = -68.1 eV/cell
1.0
-4.827 4.675 0.454
0.410 -0.229 6.719
8.524 8.823 -0.220
Br Gd
12 4
direct
0.200 0.200 0.000 Br
0.800 0.800 0.000 Br
0.703 0.297 0.162 Br
0.297 0.703 0.162 Br
0.203 0.203 0.338 Br
0.797 0.797 0.338 Br
0.700 0.300 0.500 Br
0.300 0.700 0.500 Br
0.203 0.203 0.662 Br
0.797 0.797 0.662 Br
0.703 0.297 0.838 Br
0.297 0.703 0.838 Br
0.000 0.000 0.170 Gd
0.500 0.500 0.330 Gd
0.500 0.500 0.670 Gd
0.000 0.000 0.830 Gd

GdBr2 (PBE, optimized geometry); SG = Cmc2_1 (36); total energy = -25.6 eV/cell
1.0
2.695 2.765 0.313
-3.742 0.974 -0.248
-1.051 -0.536 13.766
Br Gd
4 2
direct
0.332 0.668 0.134 Br
0.999 0.001 0.366 Br
0.668 0.332 0.634 Br
0.001 0.999 0.866 Br
0.666 0.334 0.000 Gd
0.334 0.666 0.500 Gd